[1]
Na2SnO3: relaxed, PBE.

Values from the calculation:
Crystal system: monoclinic
Uncorrected formation energy, eV per atom: -1.64
Raw total energy, eV/atom: -5.229
Fermi-level density of states, states/eV/f.u.: 0.00

a b c (Å): 5.5610 5.6709 5.6709
angles (deg): 116.00 101.97 101.97
Last column: nearest neighbours and their distance in Å.
Fractional coordinates of all 12 atoms:
1 Na 0.2500 0.9191 0.0809  4 O 2.27-2.28
2 Na 0.2500 0.2404 0.7596  6 O 2.37-2.42
3 Na 0.7500 0.0809 0.9191  4 O 2.27-2.28
4 Na 0.7500 0.7596 0.2404  6 O 2.37-2.42
5 Sn 0.2500 0.5885 0.4115  6 O 2.09-2.23
6 Sn 0.7500 0.4115 0.5885  6 O 2.09-2.23
7 O 0.9792 0.2264 0.3685  2 Sn 2.09-2.16, 1 Na 2.27
8 O 0.4792 0.3685 0.2264  2 Sn 2.09-2.16, 1 Na 2.27
9 O 0.0000 0.5000 0.0000  2 Sn 2.23, 4 Na 2.28-2.42
10 O 0.0208 0.7736 0.6315  2 Sn 2.09-2.16, 1 Na 2.27
11 O 0.5000 0.0000 0.5000  2 Sn 2.23, 4 Na 2.28-2.42
12 O 0.5208 0.6315 0.7736  2 Sn 2.09-2.16, 1 Na 2.27

=====

[2]
Na3SnO: relaxed, PBE.

Values from the calculation:
Crystal system: cubic
Uncorrected formation energy, eV per atom: 0.53
E above lowest polymorph, meV per atom: 1070
Raw total energy, eV/atom: -2.058
Fermi-level density of states, states/eV/f.u.: 22.83

a b c (Å): 5.8892 5.8892 5.8892
angles (deg): 90.00 90.00 90.00
Last column: nearest neighbours and their distance in Å.
Fractional coordinates of all 5 atoms:
1 Na 0.0000 0.5000 0.0000  2 Sn 2.94
2 Na 0.0000 0.0000 0.5000  2 Sn 2.94
3 Na 0.5000 0.0000 0.0000  2 Sn 2.94
4 Sn 0.0000 0.0000 0.0000  6 Na 2.94
5 O 0.5000 0.5000 0.5000  12 Na 4.16

=====

[3]
NaSnO: relaxed, PBE.

Values from the calculation:
Crystal system: monoclinic
Uncorrected formation energy, eV per atom: -1.06
Raw total energy, eV/atom: -4.482
Fermi-level density of states, states/eV/f.u.: 0.59

a b c (Å): 3.8013 6.1318 6.1097
angles (deg): 61.59 89.98 71.90
Last column: nearest neighbours and their distance in Å.
Fractional coordinates of all 6 atoms:
1 Na 0.8490 0.8020 0.5148  3 O 2.32-2.39
2 Na 0.1510 0.1980 0.4852  3 O 2.32-2.39
3 Sn 0.6020 0.2964 0.8856  2 O 2.10-2.23
4 Sn 0.3980 0.7036 0.1144  2 O 2.10-2.23
5 O 0.3857 0.7285 0.7591  2 Sn 2.10-2.23, 2 Na 2.32
6 O 0.6143 0.2715 0.2409  2 Sn 2.10-2.23, 2 Na 2.32

=====

[4]
Na2SnO: relaxed, PBE.

Values from the calculation:
Crystal system: tetragonal
Uncorrected formation energy, eV per atom: -0.58
E above lowest polymorph, meV per atom: 0
Raw total energy, eV/atom: -3.476
Fermi-level density of states, states/eV/f.u.: 0.79

a b c (Å): 8.3012 8.3012 6.3606
angles (deg): 49.27 49.27 90.00
Last column: nearest neighbours and their distance in Å.
Fractional coordinates of all 8 atoms:
1 Na 0.2540 0.1250 0.2500  2 O 2.39
2 Na 0.4960 0.6250 0.2500  2 O 2.39
3 Na 0.3750 0.7460 0.7500  2 O 2.39
4 Na 0.8750 0.5040 0.7500  2 O 2.39
5 Sn 0.0000 0.0000 0.0000  2 O 2.45
6 Sn 0.7500 0.2500 0.5000  2 O 2.45
7 O 0.5000 0.5000 0.0000  4 Na 2.39, 2 Sn 2.45
8 O 0.2500 0.7500 0.5000  4 Na 2.39, 2 Sn 2.45

=====

[5]
Na2Sn3O8: relaxed, PBE.

Values from the calculation:
Crystal system: monoclinic
Uncorrected formation energy, eV per atom: -1.36
Raw total energy, eV/atom: -5.539
Fermi-level density of states, states/eV/f.u.: 3.82

a b c (Å): 5.5481 6.3284 6.7789
angles (deg): 117.82 108.90 90.00
Last column: nearest neighbours and their distance in Å.
Fractional coordinates of all 13 atoms:
1 Na 0.3314 0.2820 0.5641  4 O 2.36-2.56
2 Na 0.6686 0.7180 0.4359  4 O 2.36-2.56
3 Sn 0.5000 0.0000 0.0000  6 O 2.09-2.14
4 Sn 0.0000 0.2538 0.0000  6 O 2.08-2.16
5 Sn 0.0000 0.7462 0.0000  6 O 2.08-2.16
6 O 0.9189 0.5953 0.1906  2 Sn 2.08
7 O 0.0811 0.4047 0.8094  2 Sn 2.08
8 O 0.9097 0.0981 0.1961  3 Sn 2.14-2.16
9 O 0.0903 0.9019 0.8039  3 Sn 2.14-2.16
10 O 0.6048 0.6770 0.7907  2 Sn 2.09-2.10
11 O 0.6048 0.1137 0.7907  2 Sn 2.09-2.10
12 O 0.3952 0.8863 0.2093  2 Sn 2.09-2.10
13 O 0.3952 0.3230 0.2093  2 Sn 2.09-2.10

=====

[6]
Na4SnO3: relaxed, PBE.

Values from the calculation:
Crystal system: monoclinic
Uncorrected formation energy, eV per atom: -1.35
E above lowest polymorph, meV per atom: 48
Raw total energy, eV/atom: -4.368
Fermi-level density of states, states/eV/f.u.: 0.00

a b c (Å): 5.9712 6.3428 9.2143
angles (deg): 113.70 90.00 118.08
Last column: nearest neighbours and their distance in Å.
Fractional coordinates of all 16 atoms:
1 Na 0.2622 0.2167 0.9454  3 O 2.27-2.33
2 Na 0.9545 0.2167 0.4454  3 O 2.27-2.33
3 Na 0.5171 0.4047 0.6276  3 O 2.40-2.46
4 Na 0.8876 0.4047 0.1276  3 O 2.40-2.46
5 Na 0.0578 0.6192 0.8259  3 O 2.28-2.48
6 Na 0.5613 0.6192 0.3259  3 O 2.28-2.48
7 Na 0.0331 0.7438 0.5232  3 O 2.32-2.39
8 Na 0.7107 0.7438 0.0232  3 O 2.32-2.39
9 Sn 0.6623 0.9793 0.7011  3 O 2.07
10 Sn 0.3170 0.9793 0.2011  3 O 2.07
11 O 0.6549 0.3073 0.8746  1 Sn 2.07, 1 Na 2.30
12 O 0.6524 0.3073 0.3746  1 Sn 2.07, 1 Na 2.30
13 O 0.2944 0.6405 0.6321  1 Sn 2.07, 2 Na 2.28-2.32
14 O 0.3461 0.6405 0.1321  1 Sn 2.07, 2 Na 2.28-2.32
15 O 0.8470 0.8683 0.8201  1 Sn 2.07, 1 Na 2.27
16 O 0.0213 0.8683 0.3201  1 Sn 2.07, 1 Na 2.27